The following is a PBE calculation of Dy3Er2Tm2Co2Te2 after structural relaxation, from OQMD.

Calculated values
raw total energy: -5.374 eV per atom

Unit cell a=3.812 b=15.555 c=9.466 alpha=90.00 beta=90.00 gamma=90.00
Space group Imm2 (No. 44)
One atom of each set of equivalent atoms:
Dy: 0.000 0.000 0.000 x2
Dy: 0.000 0.134 0.580 x4
Er: 0.000 0.314 0.375 x4
Tm: 0.000 0.351 0.727 x4
Co: 0.000 0.236 0.070 x4
Te: 0.000 0.000 0.333 x2
Te: 0.000 0.500 0.234 x2